# 1
Below is crystalline Li7Sn3Pd2 at its relaxed geometry, with properties calculated at the PBE-GGA level.

The structure in POSCAR format:
```
Li7Sn3Pd2
1.0
-2.3344 -2.0581 -0.0509
1.0513 -1.2989 4.3066
-9.9253 11.2157 1.7041
Li Sn Pd
7 3 2
Cartesian
0.0000 0.0000 0.0000
-8.2565 6.8739 5.5677
-6.1696 4.5929 2.0811
-1.0233 1.0989 2.5039
-7.8506 8.8180 3.5068
-2.9518 0.9849 0.3921
-5.0388 3.2659 3.8787
-0.6416 -1.6785 2.1278
-3.3655 3.7877 1.1979
-5.5085 6.1292 4.8128
-3.4890 1.5285 3.0479
-7.7194 6.3303 2.9119
```

Computed properties:
DFT formation energy (eV/atom): -0.357
M_tot (μB per formula unit): 0.00
Calculated volume (Å³ per cell): 209.6

# 2
Below is crystalline Tb4NiSeS2 at its relaxed geometry, with properties calculated at the PBE-GGA level.

The structure in POSCAR format:
```
Tb4NiSeS2
1.0
3.9117 0.0000 0.0000
0.0000 6.9830 0.1650
0.0000 -2.4015 6.5254
Ni Tb S Se
1 4 2 1
Cartesian
1.9559 3.4915 0.0825
0.0000 4.5523 1.7091
1.9559 3.3695 4.9703
1.9559 1.2119 1.7201
0.0000 0.0292 4.9813
0.0000 2.2907 3.3452
1.9559 -1.2008 3.2627
0.0000 0.0000 0.0000
```

Computed properties:
Raw formation energy (eV per formula unit): -12.1
M_tot (μB per formula unit): 0.00
Calculated volume (Å³ per cell): 179.8

# 3
Below is crystalline SrH2Cl4 at its relaxed geometry, with properties calculated at the PBE-GGA level.

The structure in POSCAR format:
```
SrH2Cl4
1.0
7.4956 0.0000 3.7755
3.7477 7.3532 1.8879
0.9050 -0.0002 7.5316
Cl H Sr
8 4 2
Cartesian
6.7165 1.0509 8.2321
6.2641 2.6255 4.4664
4.4748 4.7275 8.0187
2.2970 2.6337 2.7190
4.0045 6.3102 3.9932
2.7495 1.0427 6.4848
7.7700 6.3021 6.1406
8.2049 4.7194 9.6467
3.2458 0.1874 5.5642
11.0558 7.1656 8.7154
2.7934 3.4890 1.7985
7.7607 3.8640 10.5934
6.9766 3.6765 7.0521
10.2718 7.3532 5.1741
```

Computed properties:
DFT total energy (eV/atom): -3.59
M_tot (μB per formula unit): 0.00
Calculated volume (Å³ per cell): 390.0

# 4
Below is crystalline K5Tl2O5 at its relaxed geometry, with properties calculated at the PBE-GGA level.

The structure in POSCAR format:
```
K5Tl2O5
1.0
3.7866 0.0000 0.0000
-1.8933 6.2340 -0.0509
0.0000 -3.0577 10.2772
Tl K O
2 5 5
Cartesian
1.8933 5.2390 2.0988
0.0000 -2.0627 8.1275
1.8933 2.0333 3.7394
0.0000 1.3850 9.6342
0.0000 1.1430 6.4869
1.8933 -1.5289 5.1386
1.8933 1.7913 0.5921
0.0000 3.8199 2.0411
0.0000 0.1660 3.9956
1.8933 3.0102 6.2308
1.8933 -0.6437 8.1853
0.0000 0.0000 0.0000
```

Computed properties:
Raw formation energy (eV per formula unit): -12.6
M_tot (μB per formula unit): 0.00
Calculated volume (Å³ per cell): 242.0

# 5
Below is crystalline Sm4YS5 at its relaxed geometry, with properties calculated at the PBE-GGA level.

The structure in POSCAR format:
```
Sm4YS5
1.0
-2.8963 -0.3957 2.7130
0.2530 -3.9681 -0.3087
10.9999 1.9973 9.1032
S Sm Y
5 4 1
Cartesian
1.8900 -0.0361 2.0125
5.7811 -0.1103 6.1556
6.4665 -2.3305 9.4950
2.5755 -2.2563 5.3519
-1.3217 -2.1819 1.2022
3.8253 -0.0730 4.0732
7.7254 -0.1474 8.2259
4.5312 -2.2936 7.4343
0.6312 -2.2192 3.2816
0.0000 0.0000 0.0000
```

Computed properties:
Raw formation energy (eV per formula unit): -20.1
M_tot (μB per formula unit): 0.00
Calculated volume (Å³ per cell): 224.9